## CdGa3 (GGA-PBE)

Data for an optimized crystal structure of CdGa3.

abc: 4.8642 4.8642 4.8642
angles: 60.00 60.00 60.00
Fractional coordinates of all 4 atoms:
Ga (0.0000, 0.0000, 0.0000)
Cd (0.5000, 0.5000, 0.5000)
Ga (0.7500, 0.7500, 0.7500)
Ga (0.2500, 0.2500, 0.2500)

Output
* calculated formation energy: 99 meV per atom
* calculated density: 6.56 g/cm³